Tb5SmDy2Th | Alexandria | PBE | optimized geometry; M_tot = 0.0 μB per formula unit; D(E_F) = 11.5 states/eV/f.u.; ρ = 8.30 g cm⁻³; electronic total energy = -4.785 eV/atom; formation energy from the elements = 1.43 eV/f.u.
1.0
2.8650 -10.7546 0.0000
2.8650 10.7546 0.0000
0.0000 0.0000 9.7549
Tb Sm Dy Th
10 2 4 2
direct
0.0144 0.9856 0.5000
0.2731 0.7269 0.8036
0.3042 0.6958 0.1955
0.3996 0.6004 0.5232
0.4683 0.5317 0.2227
0.5317 0.4683 0.7227
0.6004 0.3996 0.0232
0.6958 0.3042 0.6955
0.7269 0.2731 0.3036
0.9856 0.0144 0.0000
0.1895 0.8105 0.4999
0.8105 0.1895 0.9999
0.1164 0.8836 0.8141
0.1276 0.8724 0.1948
0.8724 0.1276 0.6948
0.8836 0.1164 0.3141
0.4070 0.5930 0.9038
0.5930 0.4070 0.4038